# ThRuAu

Crystalline ThRuAu at its relaxed geometry (GGA-PBE, Alexandria via LeMat-Bulk).

Cell: 3.9866 4.6711 7.6213 Å, 72.31 87.07 80.77°
Last column: nearest neighbours and their distance in Å.
Fractional coordinates of all 6 atoms:
Th 0.0015 0.3800 0.2397  2 Ru 2.69
Th 0.9985 0.6200 0.7603  2 Ru 2.69
Ru 0.3145 0.8070 0.0003  1 Ru 2.51, 2 Th 2.69
Ru 0.6855 0.1930 0.9997  1 Ru 2.51, 2 Th 2.69
Au 0.4990 0.8066 0.3860  2 Au 2.86, 2 Th 3.01, 2 Ru 3.07-3.08
Au 0.5010 0.1934 0.6140  2 Au 2.86, 2 Th 3.01, 2 Ru 3.07-3.08

calculated formation energy = -0.40 eV per atom
space group = P-1
calculated volume = 22.24 A^3/atom
Fermi-level density of states = 2.4 states/eV/f.u.
total magnetic moment = 0.0000 μB per atom